# 1
PBE OsSeO2, optimized geometry; density = 9.590 Mg/m³; E_tot = -6.111 eV per atom; crystal system = trigonal; space-group type = R-3m
1.0
1.412 0.815 7.556
-1.412 0.815 7.556
0.000 -1.630 7.556
Os Se O
1 1 2
direct
0.000 0.000 0.000 Os
0.500 0.500 0.500 Se
0.079 0.079 0.079 O
0.921 0.921 0.921 O

---

# 2
PBE SrLiPrPd, optimized geometry; density = 5.336 Mg/m³; ΔE_f = -0.24 eV/atom; crystal system = cubic; space-group type = F-43m
1.0
0.000 3.761 3.761
3.761 0.000 3.761
3.761 3.761 0.000
Sr Li Pr Pd
1 1 1 1
direct
0.000 0.000 0.000 Sr
0.750 0.750 0.750 Li
0.500 0.500 0.500 Pr
0.250 0.250 0.250 Pd

---

# 3
PBE GaAs2Pb, optimized geometry; density = 6.014 Mg/m³; ΔE_f = -0.05 eV/atom; offset from the most stable computed form = 0 kJ/mol of formula units; crystal system = tetragonal; space-group type = I-42d
1.0
-3.120 3.120 6.052
3.120 -3.120 6.052
3.120 3.120 -6.052
Ga As Pb
2 4 2
direct
0.000 0.000 0.000 Ga
0.750 0.250 0.500 Ga
0.076 0.625 0.951 As
0.375 0.326 0.451 As
0.674 0.125 0.049 As
0.875 0.924 0.549 As
0.250 0.750 0.500 Pb
0.500 0.500 0.000 Pb

---

# 4
PBE BaVFe2, optimized geometry; density = 5.134 Mg/m³; ΔE_f = 0.80 eV/atom; offset from the most stable computed form = 0 kJ/mol of formula units; crystal system = tetragonal; space-group type = I4_1/amd
1.0
-2.482 2.482 7.877
2.482 -2.482 7.877
2.482 2.482 -7.877
Ba V Fe
2 2 4
direct
0.375 0.625 0.750 Ba
0.625 0.375 0.250 Ba
0.125 0.875 0.250 V
0.875 0.125 0.750 V
0.000 0.000 0.000 Fe
0.000 0.000 0.500 Fe
0.000 0.500 0.000 Fe
0.500 0.000 0.500 Fe

---

# 5
PBE Sc3AlN, optimized geometry; density = 2.755 Mg/m³; E_tot = -5.882 eV per atom; crystal system = hexagonal; space-group type = P6_3/mmc
1.0
4.090 0.000 0.000
-2.045 3.542 0.000
0.000 0.000 14.636
Sc Al N
6 2 2
direct
0.000 0.000 0.250 Sc
0.000 0.000 0.750 Sc
0.333 0.667 0.064 Sc
0.333 0.667 0.436 Sc
0.667 0.333 0.564 Sc
0.667 0.333 0.936 Sc
0.333 0.667 0.250 Al
0.667 0.333 0.750 Al
0.000 0.000 0.000 N
0.000 0.000 0.500 N

---

# 6
PBE ScTaBe, optimized geometry; density = 7.847 Mg/m³; ΔE_f = 0.08 eV/atom; offset from the most stable computed form = 0 kJ/mol of formula units; crystal system = tetragonal; space-group type = I4mm
1.0
-1.467 1.467 5.772
1.467 -1.467 5.772
1.467 1.467 -5.772
Sc Ta Be
1 1 1
direct
0.000 0.000 0.000 Sc
0.300 0.300 0.000 Ta
0.662 0.662 0.000 Be